Here is a relaxed structure of SbAsW3 from the Alexandria database. Energies are from PBE.

Computed properties:
magnetic moment = 0.00 Bohr magnetons per cell
total energy = -7.9577 eV/atom
V = 20.262 Å³/atom

abc: 4.6617 4.6617 4.6617
angles: 90.00 90.00 90.00
Closest atoms and distances in Å follow each position.
Element x y z (fractional)
Sb1 0.0000 0.0000 0.0000  12 W 3.30
As1 0.5000 0.5000 0.5000  6 W 2.33
W1 0.0000 0.5000 0.5000  2 As 2.33
W2 0.5000 0.0000 0.5000  2 As 2.33
W3 0.5000 0.5000 0.0000  2 As 2.33